Arrangement w

! LaPbBr2 | the Alexandria database | PBE | optimized geometry; values from VASP
&SYSTEM
  ibrav = 0, nat = 4, ntyp = 3
/
ATOMIC_SPECIES
Pb 207.20 Pb.upf
Br 79.90 Br.upf
La 138.91 La.upf
CELL_PARAMETERS angstrom
-3.8203 -3.9431 1.1588
0.2212 -1.3505 -3.8658
4.1055 -4.1237 -0.4971
ATOMIC_POSITIONS angstrom
Pb 1.0616 -5.7685 -2.5434
Br 0.3375 -0.3636 -0.1246
Br -0.8537 -3.5360 -1.2611
La 2.1243 -2.4862 -1.4564
! - Space group: Amm2, No. 38
! - M_tot: 0.0 μB/f.u.
! - DOS at the Fermi energy: 0.8 states/eV/cell


Arrangement x

! LaPbBr2 | the Alexandria database | PBE | optimized geometry; values from VASP
&SYSTEM
  ibrav = 0, nat = 4, ntyp = 3
/
ATOMIC_SPECIES
Pb 207.20 Pb.upf
Br 79.90 Br.upf
La 138.91 La.upf
CELL_PARAMETERS angstrom
5.6235 0.0000 0.0000
2.8117 4.8701 0.0000
2.8117 1.6234 4.5915
ATOMIC_POSITIONS angstrom
Pb 8.4352 4.8701 3.4437
Br 2.8117 1.6234 1.1479
Br 0.0000 0.0000 0.0000
La 5.6235 3.2467 2.2958
! - Space group: F-43m, No. 216
! - M_tot: 2.6 μB/f.u.
! - DOS at the Fermi energy: 3.4 states/eV/cell


Arrangement y

! LaPbBr2 | the Alexandria database | PBE | optimized geometry; values from VASP
&SYSTEM
  ibrav = 0, nat = 4, ntyp = 3
/
ATOMIC_SPECIES
La 138.91 La.upf
Br 79.90 Br.upf
Pb 207.20 Pb.upf
CELL_PARAMETERS angstrom
3.9316 0.0000 0.0000
0.0000 6.1124 0.0000
0.0000 0.0000 4.9573
ATOMIC_POSITIONS angstrom
La 1.9658 0.0000 2.4786
Br 1.9658 3.0562 0.0000
Br 0.0000 0.0000 0.0000
Pb 0.0000 3.0562 2.4786
! - Space group: Pmmm, No. 47
! - M_tot: 0.0 μB/f.u.
! - DOS at the Fermi energy: 1.9 states/eV/cell


Arrangement z

! LaPbBr2 | the Alexandria database | PBE | optimized geometry; values from VASP
&SYSTEM
  ibrav = 0, nat = 4, ntyp = 3
/
ATOMIC_SPECIES
Br 79.90 Br.upf
La 138.91 La.upf
Pb 207.20 Pb.upf
CELL_PARAMETERS angstrom
-1.2539 2.1120 4.2872
-4.3872 -2.2666 -0.1666
1.8463 -3.7491 2.3869
ATOMIC_POSITIONS angstrom
Br -2.8206 -0.0773 2.0603
Br 0.0000 0.0000 0.0000
La 0.2962 -0.8186 3.3371
Pb -1.2704 -3.0079 1.1102
! - Space group: P4/mmm, No. 123
! - M_tot: 0.0 μB/f.u.
! - DOS at the Fermi energy: 2.4 states/eV/cell


Last place for stability: arrangement x


Arrangement w

! LaPbBr2 | the Alexandria database | PBE | optimized geometry; values from VASP
&SYSTEM
  ibrav = 0, nat = 4, ntyp = 3
/
ATOMIC_SPECIES
Br 79.90 Br.upf
Pb 207.20 Pb.upf
La 138.91 La.upf
CELL_PARAMETERS angstrom
1.7882 10.3451 2.8905
4.5480 9.8886 0.3239
1.0416 10.8094 -0.8026
ATOMIC_POSITIONS angstrom
Br 0.7360 3.0969 0.2406
Br 6.6418 27.9462 2.1712
Pb 0.0000 0.0000 0.0000
La 3.6889 15.5216 1.2059
! - Space group: R-3m, No. 166
! - M_tot: 0.0 μB/f.u.
! - DOS at the Fermi energy: 2.6 states/eV/cell


Arrangement x

! LaPbBr2 | the Alexandria database | PBE | optimized geometry; values from VASP
&SYSTEM
  ibrav = 0, nat = 4, ntyp = 3
/
ATOMIC_SPECIES
Br 79.90 Br.upf
La 138.91 La.upf
Pb 207.20 Pb.upf
CELL_PARAMETERS angstrom
6.7924 0.1787 -0.0755
5.5893 3.8637 -0.0755
1.2501 0.4081 5.7507
ATOMIC_POSITIONS angstrom
Br 5.9229 1.9337 3.0457
Br 2.1431 0.6997 5.5048
La 10.2238 3.3379 4.1998
Pb 3.4079 1.1126 1.3999
! - Space group: C2/m, No. 12
! - M_tot: 0.0 μB/f.u.
! - DOS at the Fermi energy: 1.5 states/eV/cell


Last place for stability: arrangement w


Arrangement w

! LaPbBr2 | the Alexandria database | PBE | optimized geometry; values from VASP
&SYSTEM
  ibrav = 0, nat = 4, ntyp = 3
/
ATOMIC_SPECIES
Br 79.90 Br.upf
Pb 207.20 Pb.upf
La 138.91 La.upf
CELL_PARAMETERS angstrom
-0.4027 -3.5723 2.1449
4.1659 -0.2978 0.2849
-0.1575 3.7601 6.2329
ATOMIC_POSITIONS angstrom
Br -0.0041 0.0971 0.1610
Br 1.8325 -0.7637 3.1566
Pb 1.7662 0.8189 5.7800
La -0.0678 1.6177 2.6816
! - Space group: P4mm, No. 99
! - M_tot: 0.0 μB/f.u.
! - DOS at the Fermi energy: 1.5 states/eV/cell


Arrangement x

! LaPbBr2 | the Alexandria database | PBE | optimized geometry; values from VASP
&SYSTEM
  ibrav = 0, nat = 8, ntyp = 3
/
ATOMIC_SPECIES
La 138.91 La.upf
Br 79.90 Br.upf
Pb 207.20 Pb.upf
CELL_PARAMETERS angstrom
7.2302 0.0000 0.0000
0.0000 7.2302 0.0000
3.6151 3.6151 7.0448
ATOMIC_POSITIONS angstrom
La 3.6151 3.6151 0.0000
La 3.6151 7.2302 3.5224
Br 4.9979 1.8076 1.7612
Br 2.2323 5.4227 1.7612
Br 9.0378 8.6130 5.2836
Br 5.4227 5.8475 5.2836
Pb 0.0000 0.0000 0.0000
Pb 7.2302 3.6151 3.5224
! - Space group: I-42d, No. 122
! - M_tot: 0.0 μB/f.u.
! - DOS at the Fermi energy: 4.9 states/eV/cell


Last place for stability: arrangement x


Arrangement w

! LaPbBr2 | the Alexandria database | PBE | optimized geometry; values from VASP
&SYSTEM
  ibrav = 0, nat = 4, ntyp = 3
/
ATOMIC_SPECIES
Br 79.90 Br.upf
Pb 207.20 Pb.upf
La 138.91 La.upf
CELL_PARAMETERS angstrom
-3.5662 3.6554 -1.0324
-0.7494 -1.7430 -3.5829
-4.2609 -3.4169 2.6201
ATOMIC_POSITIONS angstrom
Br -2.4426 -2.4850 -0.3612
Br -0.0626 -0.0950 -0.1202
Pb -5.5408 -2.0423 -1.2383
La -3.0357 0.5377 -0.7569
! - Space group: P2/m, No. 10
! - M_tot: 0.0 μB/f.u.
! - DOS at the Fermi energy: 2.4 states/eV/cell


Arrangement x

! LaPbBr2 | the Alexandria database | PBE | optimized geometry; values from VASP
&SYSTEM
  ibrav = 0, nat = 4, ntyp = 3
/
ATOMIC_SPECIES
Br 79.90 Br.upf
Pb 207.20 Pb.upf
La 138.91 La.upf
CELL_PARAMETERS angstrom
5.9587 -0.0005 0.0000
1.8933 5.6499 0.0000
-3.9260 -2.8247 3.4805
ATOMIC_POSITIONS angstrom
Br 3.9260 2.8247 0.0000
Br 0.0000 0.0000 0.0000
Pb 2.9793 -0.0002 1.7402
La 0.9466 2.8250 1.7402
! - Space group: I4/mmm, No. 139
! - M_tot: 0.0 μB/f.u.
! - DOS at the Fermi energy: 2.3 states/eV/cell


Arrangement y

! LaPbBr2 | the Alexandria database | PBE | optimized geometry; values from VASP
&SYSTEM
  ibrav = 0, nat = 4, ntyp = 3
/
ATOMIC_SPECIES
Br 79.90 Br.upf
Pb 207.20 Pb.upf
La 138.91 La.upf
CELL_PARAMETERS angstrom
3.7866 -0.0028 0.0000
-1.9076 3.2709 0.0000
0.0000 0.0000 10.5319
ATOMIC_POSITIONS angstrom
Br 0.0000 0.0000 5.0120
Br 0.0000 0.0000 0.2540
Pb 0.9395 1.6341 7.8989
La 0.9395 1.6341 2.6330
! - Space group: Cmmm, No. 65
! - M_tot: 0.0 μB/f.u.
! - DOS at the Fermi energy: 1.8 states/eV/cell


Arrangement z

! LaPbBr2 | the Alexandria database | PBE | optimized geometry; values from VASP
&SYSTEM
  ibrav = 0, nat = 4, ntyp = 3
/
ATOMIC_SPECIES
Br 79.90 Br.upf
Pb 207.20 Pb.upf
La 138.91 La.upf
CELL_PARAMETERS angstrom
6.8280 -0.0201 0.1838
5.6789 3.7911 0.1838
3.7386 1.1273 5.2095
ATOMIC_POSITIONS angstrom
Br 3.8039 1.1470 5.0774
Br 12.9734 3.9117 4.4110
Pb 3.9453 1.1896 2.0703
La 7.3841 2.2264 2.0165
! - Space group: Cm, No. 8
! - M_tot: 0.0 μB/f.u.
! - DOS at the Fermi energy: 1.6 states/eV/cell


Last place for stability: arrangement y


Arrangement w

! LaPbBr2 | the Alexandria database | PBE | optimized geometry; values from VASP
&SYSTEM
  ibrav = 0, nat = 4, ntyp = 3
/
ATOMIC_SPECIES
Pb 207.20 Pb.upf
Br 79.90 Br.upf
La 138.91 La.upf
CELL_PARAMETERS angstrom
7.0297 0.0011 0.0057
4.1456 5.6772 -0.0057
-5.2046 -3.5930 3.0691
ATOMIC_POSITIONS angstrom
Pb 2.5307 2.5970 1.5317
Br 3.3200 -0.5727 1.5374
Br 11.0177 5.5982 0.0000
La 5.8654 2.9802 0.0000
! - Space group: Imm2, No. 44
! - M_tot: 0.0 μB/f.u.
! - DOS at the Fermi energy: 2.3 states/eV/cell


Arrangement x

! LaPbBr2 | the Alexandria database | PBE | optimized geometry; values from VASP
&SYSTEM
  ibrav = 0, nat = 4, ntyp = 3
/
ATOMIC_SPECIES
Br 79.90 Br.upf
La 138.91 La.upf
Pb 207.20 Pb.upf
CELL_PARAMETERS angstrom
0.0000 3.8646 3.8646
3.8646 0.0000 3.8646
3.8646 3.8646 0.0000
ATOMIC_POSITIONS angstrom
Br 5.7968 5.7968 5.7968
Br 1.9323 1.9323 1.9323
La 0.0000 0.0000 0.0000
Pb 3.8646 3.8646 3.8646
! - Space group: Fm-3m, No. 225
! - M_tot: 0.0 μB/f.u.
! - DOS at the Fermi energy: 3.6 states/eV/cell


Arrangement y

! LaPbBr2 | the Alexandria database | PBE | optimized geometry; values from VASP
&SYSTEM
  ibrav = 0, nat = 4, ntyp = 3
/
ATOMIC_SPECIES
Br 79.90 Br.upf
Pb 207.20 Pb.upf
La 138.91 La.upf
CELL_PARAMETERS angstrom
3.6000 0.0000 0.0000
0.0000 3.6013 0.0000
0.0000 0.0000 11.5750
ATOMIC_POSITIONS angstrom
Br 0.0000 0.0000 4.6891
Br 0.0000 0.0000 1.0984
Pb 1.8000 1.8007 8.6813
La 1.8000 1.8007 2.8938
! - Space group: P4/mmm, No. 123
! - M_tot: 0.0 μB/f.u.
! - DOS at the Fermi energy: 2.5 states/eV/cell


Last place for stability: arrangement x


Arrangement w

! La2Pb2Br | the Alexandria database | PBE | optimized geometry; values from VASP
&SYSTEM
  ibrav = 0, nat = 10, ntyp = 3
/
ATOMIC_SPECIES
La 138.91 La.upf
Pb 207.20 Pb.upf
Br 79.90 Br.upf
CELL_PARAMETERS angstrom
8.4634 0.0000 0.0000
0.0000 8.4634 0.0000
0.0000 0.0000 4.6786
ATOMIC_POSITIONS angstrom
La 6.9657 5.7294 0.0000
La 5.7294 1.4977 0.0000
La 1.4977 2.7340 0.0000
La 2.7340 6.9657 0.0000
Pb 7.4083 3.1766 2.3393
Pb 3.1766 1.0551 2.3393
Pb 1.0551 5.2868 2.3393
Pb 5.2868 7.4083 2.3393
Br 0.0000 0.0000 0.0000
Br 4.2317 4.2317 0.0000
! - Space group: P4/mbm, No. 127
! - M_tot: 0.0 μB/f.u.
! - DOS at the Fermi energy: 11.2 states/eV/cell


Arrangement x

! La2Pb2Br | the Alexandria database | PBE | optimized geometry; values from VASP
&SYSTEM
  ibrav = 0, nat = 10, ntyp = 3
/
ATOMIC_SPECIES
Br 79.90 Br.upf
Pb 207.20 Pb.upf
La 138.91 La.upf
CELL_PARAMETERS angstrom
-5.7424 7.1528 1.4522
-6.7870 -4.5533 -4.4103
-1.1362 -1.6032 3.4037
ATOMIC_POSITIONS angstrom
Br 0.0000 0.0000 0.0000
Br -6.2647 1.2997 -1.4791
Pb -9.2532 3.5614 -1.4114
Pb -3.2762 -0.9620 -1.5468
Pb -4.2784 3.8683 0.3939
Pb -8.2510 -1.2689 -3.3520
La -3.6330 0.6046 1.3411
La -6.2844 -2.5964 -1.0517
La -7.3812 3.5926 1.4973
La -10.0326 0.3916 -0.8955
! - Space group: P4/mbm, No. 127
! - M_tot: 0.0 μB/f.u.
! - DOS at the Fermi energy: 10.8 states/eV/cell


Last place for stability: arrangement x